The following is a DFT calculation (PBE) of a geometry-optimized MnBeAl6 structure.

The calculation puts the formation energy at 0.085 eV per atom. For the density of states at the Fermi level, the calculation gives 0.53 states/eV per atom. As for the space-group type: C2/m. The magnetization is 0.22 μB/atom.

Cell lengths 6.1688, 6.1688, 5.0484 Å; angles 90.30, 90.30, 137.45 degrees
Closest atoms and distances in Å follow each position.
Fractional positions:
Mn 0.0000 0.0000 0.0000  8 Al 2.51-2.61, 2 Be 2.52
Be 0.0000 0.0000 0.5000  8 Al 2.50-2.66, 2 Mn 2.52
Al 0.0630 0.6893 0.7521  1 Mn 2.54, 1 Be 2.56, 5 Al 2.67-2.79
Al 0.3107 0.9370 0.2479  1 Mn 2.54, 1 Be 2.56, 5 Al 2.67-2.79
Al 0.4840 0.4840 0.7544  4 Al 2.48-2.77, 2 Be 2.50-2.66, 2 Mn 2.51-2.61
Al 0.5160 0.5160 0.2456  4 Al 2.48-2.77, 2 Be 2.50-2.66, 2 Mn 2.51-2.61
Al 0.6893 0.0630 0.7521  1 Mn 2.54, 1 Be 2.56, 5 Al 2.67-2.79
Al 0.9370 0.3107 0.2479  1 Mn 2.54, 1 Be 2.56, 5 Al 2.67-2.79